[1]
Compound: SmNbNO
Source: OQMD via LeMat-Bulk
Functional: PBE-GGA
Structure: relaxed

Geometry as POSCAR:
```
SmNbNO
1.0
6.349 0.000 0.000
0.000 7.657 0.000
0.000 0.000 5.188
Sm Nb N O
4 4 4 4
Cartesian
0.389 1.096 0.000 Sm
2.785 1.096 2.594 Sm
3.564 6.561 0.000 Sm
5.960 6.561 2.594 Sm
0.796 5.008 5.174 Nb
2.379 5.008 2.580 Nb
3.970 2.649 5.174 Nb
5.553 2.649 2.580 Nb
0.424 1.130 2.593 N
2.751 1.130 5.187 N
3.598 6.528 2.593 N
5.925 6.528 5.187 N
0.421 4.264 3.174 O
2.753 4.264 0.580 O
3.596 3.393 3.174 O
5.928 3.393 0.580 O
```

Properties
- Offset from the most stable computed form: 5.27 kcal/mol of atoms
- Total magnetic moment: 0.0 μB per formula unit
- Final energy: -135.9 eV for the cell shown


[2]
Compound: NdScAg2Sn2
Source: OQMD via LeMat-Bulk
Functional: PBE-GGA
Structure: relaxed

Geometry as POSCAR:
```
NdScAg2Sn2
1.0
4.716 0.000 0.000
-2.358 4.084 0.000
0.000 0.000 7.296
Nd Sc Ag Sn
1 1 2 2
Cartesian
0.000 0.000 0.000 Nd
0.000 0.000 3.659 Sc
0.000 2.723 4.963 Ag
2.358 1.361 1.558 Ag
0.000 2.723 2.115 Sn
2.358 1.361 5.584 Sn
```

Properties
- Total magnetic moment: 0.0 μB per formula unit
- Final energy: -28.0 eV for the cell shown


[3]
Compound: Zr2Ta4Pb3C3
Source: OQMD via LeMat-Bulk
Functional: PBE-GGA
Structure: relaxed

Geometry as POSCAR:
```
Zr2Ta4Pb3C3
1.0
5.053 -2.920 0.000
5.053 2.920 0.000
-3.387 0.000 14.164
Zr Ta Pb C
4 8 6 6
Cartesian
2.543 2.449 8.314 Zr
2.482 2.449 12.932 Zr
4.237 -2.449 1.232 Zr
4.176 -2.449 5.850 Zr
2.499 0.468 1.053 Ta
2.513 0.520 6.028 Ta
0.805 -0.468 8.135 Ta
0.819 -0.520 13.110 Ta
5.900 0.520 1.054 Ta
5.914 0.468 6.029 Ta
4.206 -0.520 8.136 Ta
4.220 -0.468 13.111 Ta
-0.773 0.526 10.643 Pb
0.921 -0.526 3.562 Pb
2.513 0.391 10.623 Pb
4.206 -0.391 3.541 Pb
5.798 0.526 10.602 Pb
7.492 -0.526 3.520 Pb
0.833 1.460 7.082 C
4.189 1.419 0.000 C
4.224 1.419 7.082 C
2.527 -1.460 0.000 C
2.495 -1.419 7.082 C
5.917 -1.419 0.000 C
```

Properties
- Total magnetic moment: 0.0 μB per formula unit
- Final energy: -214.7 eV for the cell shown


[4]
Compound: BeFeAgSb
Source: OQMD via LeMat-Bulk
Functional: PBE-GGA
Structure: relaxed

Geometry as POSCAR:
```
BeFeAgSb
1.0
0.000 3.127 3.127
3.127 0.000 3.127
3.127 3.127 0.000
Be Fe Ag Sb
1 1 1 1
Cartesian
0.000 0.000 0.000 Be
3.127 3.127 3.127 Fe
4.690 4.690 4.690 Ag
1.563 1.563 1.563 Sb
```

Properties
- Offset from the most stable computed form: 0.00 kcal/mol of atoms
- Total magnetic moment: 1.8 μB per formula unit
- Final energy: -17.1 eV for the cell shown


[5]
Compound: Nb2AgO4
Source: OQMD via LeMat-Bulk
Functional: PBE-GGA
Structure: relaxed

Geometry as POSCAR:
```
Nb2AgO4
1.0
0.000 4.517 4.517
4.517 0.000 4.517
4.517 4.517 0.000
Nb Ag O
4 2 8
Cartesian
0.000 0.000 0.000 Nb
2.259 2.259 0.000 Nb
2.259 0.000 2.259 Nb
0.000 2.259 2.259 Nb
3.388 3.388 3.388 Ag
5.647 5.647 5.647 Ag
6.918 4.375 4.375 O
2.116 2.116 2.116 O
4.660 4.660 2.116 O
4.660 2.116 4.660 O
4.375 6.918 4.375 O
4.375 4.375 6.918 O
6.918 6.918 6.918 O
2.116 4.660 4.660 O
```

Properties
- Total magnetic moment: 0.6 μB per formula unit
- Final energy: -108.5 eV for the cell shown


[6]
Compound: GaMo2Ir
Source: OQMD via LeMat-Bulk
Functional: PBE-GGA
Structure: relaxed

Geometry as POSCAR:
```
GaMo2Ir
1.0
0.000 3.120 3.120
3.120 0.000 3.120
3.120 3.120 0.000
Ga Mo Ir
1 2 1
Cartesian
0.000 0.000 0.000 Ga
3.120 3.120 3.120 Mo
4.680 4.680 4.680 Mo
1.560 1.560 1.560 Ir
```

Properties
- Total magnetic moment: 0.0 μB per formula unit
- Final energy: -33.8 eV for the cell shown


[7]
Compound: DyHo3Ni4
Source: OQMD via LeMat-Bulk
Functional: PBE-GGA
Structure: relaxed

Geometry as POSCAR:
```
DyHo3Ni4
1.0
5.396 0.000 0.000
0.000 4.160 0.000
-0.001 0.000 7.019
Dy Ho Ni
1 3 4
Cartesian
0.000 0.000 0.000 Dy
1.293 0.000 3.509 Ho
2.698 2.080 0.987 Ho
3.990 2.080 4.495 Ho
1.323 2.080 5.490 Ni
2.667 0.000 6.023 Ni
4.020 0.000 2.515 Ni
5.366 2.080 1.982 Ni
```

Properties
- DFT formation energy: -0.473 eV/atom
- Total magnetic moment: 0.0 μB per formula unit
- Final energy: -44.4 eV for the cell shown


[8]
Compound: Rb2TbGdS4
Source: OQMD via LeMat-Bulk
Functional: PBE-GGA
Structure: relaxed

Geometry as POSCAR:
```
Rb2TbGdS4
1.0
4.094 0.000 0.000
-2.047 3.545 0.000
0.000 0.000 15.413
Rb Tb Gd S
2 1 1 4
Cartesian
0.000 2.364 3.853 Rb
2.047 1.182 11.559 Rb
0.000 0.000 7.706 Tb
0.000 0.000 0.000 Gd
0.000 2.364 9.193 S
0.000 2.364 13.922 S
2.047 1.182 1.490 S
2.047 1.182 6.220 S
```

Properties
- Total magnetic moment: 0.0 μB per formula unit
- Final energy: -42.5 eV for the cell shown